No. 1
Material: Dy4AlCu
Method: DFT, PBE-GGA
State: relaxed

```
data_Dy4AlCu
_cell_length_a 8.692
_cell_length_b 13.594
_cell_length_c 5.608
_cell_angle_alpha 90.00
_cell_angle_beta 110.74
_cell_angle_gamma 90.00
_space_group_name_H-M_alt 'C 1 2/c 1'
_space_group_IT_number 15
_space_group_name_Hall '-C 2yc'
loop_
_atom_site_label
_atom_site_type_symbol
_atom_site_fract_x
_atom_site_fract_y
_atom_site_fract_z
Dy1 Dy 0.116 0.184 0.069
Dy2 Dy 0.205 0.424 0.343
Al1 Al 0.000 0.379 0.750
Cu1 Cu 0.000 0.000 0.250
```

E_tot ... -4.51 eV/atom
V ... 619.6 Å³ per cell
Total moment ... 0.0 μB/f.u.

No. 2
Material: Dy4AlCu3
Method: DFT, PBE-GGA
State: relaxed

```
data_Dy4AlCu3
_cell_length_a 3.654
_cell_length_b 4.480
_cell_length_c 10.872
_cell_angle_alpha 90.00
_cell_angle_beta 90.00
_cell_angle_gamma 90.00
_space_group_name_H-M_alt 'P m m 2'
_space_group_IT_number 25
_space_group_name_Hall 'P 2 -2'
loop_
_atom_site_label
_atom_site_type_symbol
_atom_site_fract_x
_atom_site_fract_y
_atom_site_fract_z
Dy1 Dy 0.000 0.000 0.000
Dy2 Dy 0.000 0.500 0.274
Dy3 Dy 0.500 0.000 0.477
Dy4 Dy 0.500 0.500 0.790
Al1 Al 0.000 0.000 0.703
Cu1 Cu 0.000 0.500 0.565
Cu2 Cu 0.500 0.000 0.204
Cu3 Cu 0.500 0.500 0.069
```

Offset from the most stable computed form ... 0.013 eV per atom
V ... 178.0 Å³ per cell
Total moment ... 0.0 μB/f.u.

No. 3
Material: DyAl9Cu2
Method: DFT, PBE-GGA
State: relaxed

```
data_DyAl9Cu2
_cell_length_a 10.670
_cell_length_b 10.670
_cell_length_c 7.090
_cell_angle_alpha 90.00
_cell_angle_beta 90.00
_cell_angle_gamma 90.00
_space_group_name_H-M_alt 'I 41/a m d'
_space_group_IT_number 141
loop_
_space_group_symop_operation_xyz
'x,y,z'
'-x,-y,-z'
'-y+1/4,x+3/4,z+1/4'
'y+1/4,-x+3/4,-z+1/4'
'-x+1/2,-y,z+1/2'
'x+1/2,y,-z+1/2'
'y+1/4,-x+1/4,z+3/4'
'-y+1/4,x+1/4,-z+3/4'
'x,-y,-z'
'-x,y,z'
'-y+1/4,-x+1/4,-z+3/4'
'y+1/4,x+1/4,z+3/4'
'-x+1/2,y,-z+1/2'
'x+1/2,-y,z+1/2'
'y+1/4,x+3/4,-z+1/4'
'-y+1/4,-x+3/4,z+1/4'
'x+1/2,y+1/2,z+1/2'
'-x+1/2,-y+1/2,-z+1/2'
'-y+3/4,x+1/4,z+3/4'
'y+3/4,-x+1/4,-z+3/4'
'-x,-y+1/2,z'
'x,y+1/2,-z'
'y+3/4,-x+3/4,z+1/4'
'-y+3/4,x+3/4,-z+1/4'
'x+1/2,-y+1/2,-z+1/2'
'-x+1/2,y+1/2,z+1/2'
'-y+3/4,-x+3/4,-z+1/4'
'y+3/4,x+3/4,z+1/4'
'-x,y+1/2,-z'
'x,-y+1/2,z'
'y+3/4,x+1/4,-z+3/4'
'-y+3/4,-x+1/4,z+3/4'
loop_
_atom_site_label
_atom_site_type_symbol
_atom_site_fract_x
_atom_site_fract_y
_atom_site_fract_z
Dy1 Dy 0.000 0.250 0.375
Al1 Al 0.000 0.250 0.875
Al2 Al 0.123 0.050 0.682
Cu1 Cu 0.000 0.000 0.000
```

E_tot ... -4.03 eV/atom
V ... 807.2 Å³ per cell
Total moment ... 0.0 μB/f.u.

No. 4
Material: DyAlCu4
Method: DFT, PBE-GGA
State: relaxed

```
data_DyAlCu4
_cell_length_a 5.1871
_cell_length_b 5.1871
_cell_length_c 4.0127
_cell_angle_alpha 90.00
_cell_angle_beta 90.00
_cell_angle_gamma 120.00
_space_group_name_H-M_alt 'P -6 m 2'
_space_group_IT_number 187
_space_group_name_Hall 'P -6 2'
loop_
_atom_site_label
_atom_site_type_symbol
_atom_site_fract_x
_atom_site_fract_y
_atom_site_fract_z
Dy1 Dy 0.0000 0.0000 0.0000
Al1 Al 0.3333 0.6667 0.0000
Cu1 Cu 0.5009 0.0018 0.5000
Cu2 Cu 0.6667 0.3333 0.0000
```

E_tot ... -4.38 eV/atom
V ... 93.5 Å³ per cell
Total moment ... 0.0 μB/f.u.